Entry from Alexandria: a relaxed ThNp4Pa crystal (PBE).

The spin magnetization is 7.48 μB/f.u. For the calculated total energy, the calculation gives -11.22 eV per atom. The calculation puts the density of states at the Fermi level at 56.1 states/eV per cell. Its formation energy is 0.228 eV/atom.

It has space group F-43m (No. 216), with a = 7.986 Å, b = 7.986 Å, c = 7.986 Å, α = 90.00°, β = 90.00° and γ = 90.00°. The asymmetric unit holds Th at (0.000, 0.000, 0.000), Np at (0.125, 0.125, 0.375) and Pa at (0.250, 0.250, 0.750).

---

Entry from Alexandria: a relaxed Y6Cd5Ge crystal (PBE).

The spin magnetization is 0.00 μB/f.u. For the calculated total energy, the calculation gives -4.42 eV per atom. The calculation puts the density of states at the Fermi level at 23.3 states/eV per cell. Its formation energy is -0.422 eV/atom.

It has space group Cmmm (No. 65), with a = 5.250 Å, b = 15.866 Å, c = 7.369 Å, α = 90.00°, β = 90.00° and γ = 90.00°. The asymmetric unit holds Y at (0.000, 0.000, 0.237), Y at (0.000, 0.340, 0.246), Cd at (0.000, 0.169, 0.500), Cd at (0.000, 0.179, 0.000), Cd at (0.000, 0.500, 0.500) and Ge at (0.000, 0.500, 0.000).

---

Q: spin magnetization of number 1 (ThNp4Pa)?
A: 7.48 μB/f.u.